DFT (meta-GGA SCAN) results for RbIn3Ru at its PBEsol-relaxed geometry.

Cell: 5.179 5.179 5.179 Å, 90.00 90.00 90.00°
Positions (direct):
1 Rb 0.000 0.000 0.000
2 In 0.000 0.500 0.500
3 In 0.500 0.000 0.500
4 In 0.500 0.500 0.000
5 Ru 0.500 0.500 0.500

The calculation puts the total magnetic moment at 0.00 μB per formula unit. As for the formation energy from the elements: -23.0 kJ/mol of atoms.

=====

DFT (meta-GGA SCAN) results for Li2As at its PBEsol-relaxed geometry.

Cell: 3.397 3.397 7.841 Å, 90.00 90.00 90.00°
Positions (direct):
1 Li 0.000 0.000 0.162
2 Li 0.000 0.000 0.838
3 Li 0.500 0.500 0.338
4 Li 0.500 0.500 0.662
5 As 0.000 0.000 0.500
6 As 0.500 0.500 0.000

The calculation puts the total magnetic moment at 0.00 μB per formula unit. As for the formation energy from the elements: -58.7 kJ/mol of atoms. The value obtained for the distance to the lowest polymorph of the same formula is 115 meV/atom.